The following is a PBE calculation of crystalline SrTa2Tl at its relaxed geometry, from Alexandria.

Structure (CIF):
```
data_SrTa2Tl
_cell_length_a 7.096
_cell_length_b 7.096
_cell_length_c 7.096
_cell_angle_alpha 90.00
_cell_angle_beta 90.00
_cell_angle_gamma 90.00
_symmetry_space_group_name_H-M 'F m -3 m'
_symmetry_Int_Tables_number 225
_symmetry_space_group_name_Hall '-F 4 2 3'
loop_
_atom_site_label
_atom_site_type_symbol
_atom_site_fract_x
_atom_site_fract_y
_atom_site_fract_z
Sr1 Sr 0.000 0.000 0.000
Ta1 Ta 0.250 0.250 0.250
Tl1 Tl 0.000 0.000 0.500
```

Summary:
formation energy from the elements: 120.7 kJ per mole of atoms
E: -91.0 eV/cell
excess energy over the best structure of this formula in the dataset: 0.891 eV/atom
calculated volume: 357 Å³ per cell
Fermi-level density of states: 8.4 states/eV/f.u.

The following is a PBE calculation of crystalline SrTaTl2 at its relaxed geometry, from Alexandria.

Structure (CIF):
```
data_SrTaTl2
_cell_length_a 4.900
_cell_length_b 4.900
_cell_length_c 8.664
_cell_angle_alpha 90.00
_cell_angle_beta 90.00
_cell_angle_gamma 90.00
_symmetry_space_group_name_H-M 'I 4/m m m'
_symmetry_Int_Tables_number 139
_symmetry_space_group_name_Hall '-I 4 2'
loop_
_atom_site_label
_atom_site_type_symbol
_atom_site_fract_x
_atom_site_fract_y
_atom_site_fract_z
Sr1 Sr 0.000 0.000 0.000
Ta1 Ta 0.000 0.000 0.500
Tl1 Tl 0.000 0.500 0.250
```

Summary:
formation energy from the elements: 47.1 kJ per mole of atoms
E: -32.6 eV/cell
calculated volume: 208 Å³ per cell
Fermi-level density of states: 2.3 states/eV/f.u.

The following is a PBE calculation of crystalline SrTa2Tl at its relaxed geometry, from Alexandria.

Structure (CIF):
```
data_SrTa2Tl
_cell_length_a 2.993
_cell_length_b 2.993
_cell_length_c 10.341
_cell_angle_alpha 90.00
_cell_angle_beta 90.00
_cell_angle_gamma 90.00
_symmetry_space_group_name_H-M 'P 4/m m m'
_symmetry_Int_Tables_number 123
_symmetry_space_group_name_Hall '-P 4 2'
loop_
_atom_site_label
_atom_site_type_symbol
_atom_site_fract_x
_atom_site_fract_y
_atom_site_fract_z
Sr1 Sr 0.000 0.000 0.000
Ta1 Ta 0.500 0.500 0.278
Tl1 Tl 0.000 0.000 0.500
```

Summary:
formation energy from the elements: 86.1 kJ per mole of atoms
E: -24.2 eV/cell
excess energy over the best structure of this formula in the dataset: 0.532 eV/atom
calculated volume: 93 Å³ per cell
Fermi-level density of states: 4.5 states/eV/f.u.

The following is a PBE calculation of crystalline SrTa2Tl at its relaxed geometry, from Alexandria.

Structure (CIF):
```
data_SrTa2Tl
_cell_length_a 4.928
_cell_length_b 4.928
_cell_length_c 20.920
_cell_angle_alpha 90.00
_cell_angle_beta 90.00
_cell_angle_gamma 90.00
_symmetry_space_group_name_H-M 'I -4 2 d'
_symmetry_Int_Tables_number 122
_symmetry_space_group_name_Hall 'I -4 2bw'
loop_
_atom_site_label
_atom_site_type_symbol
_atom_site_fract_x
_atom_site_fract_y
_atom_site_fract_z
Sr1 Sr 0.000 0.000 0.000
Ta1 Ta 0.021 0.250 0.625
Tl1 Tl 0.000 0.000 0.500
```

Summary:
formation energy from the elements: 100.9 kJ per mole of atoms
E: -94.3 eV/cell
excess energy over the best structure of this formula in the dataset: 0.686 eV/atom
calculated volume: 508 Å³ per cell
Fermi-level density of states: 4.0 states/eV/f.u.